No. 1
VASP calculation (PBE) on a geometry-optimized NaAcCuAs structure.

a b c (Å): 5.224 5.224 5.224
angles (deg): 60.00 60.00 60.00
Atoms (fractional coordinates):
Na: 0.000 0.000 0.000
Ac: 0.500 0.500 0.500
Cu: 0.250 0.250 0.250
As: 0.750 0.750 0.750

Total moment in μB per formula unit: 0.0
ΔH_f (0 K) in eV/atom: -0.45

No. 2
VASP calculation (PBE) on a geometry-optimized AcNdCuAs structure.

a b c (Å): 5.280 5.280 5.280
angles (deg): 60.00 60.00 60.00
Atoms (fractional coordinates):
Ac: 0.000 0.000 0.000
Nd: 0.500 0.500 0.500
Cu: 0.750 0.750 0.750
As: 0.250 0.250 0.250

Total moment in μB per formula unit: 0.0
ΔH_f (0 K) in eV/atom: -0.54
Density of states at the Fermi level in states/eV/f.u.: 3.5

No. 3
VASP calculation (PBE) on a geometry-optimized Ac2CuNi3As4 structure.

a b c (Å): 4.368 4.368 9.701
angles (deg): 90.00 90.00 90.00
Atoms (fractional coordinates):
Ac: 0.000 0.500 0.249
Ac: 0.500 0.000 0.751
Cu: 0.500 0.500 0.000
Ni: 0.000 0.000 0.000
Ni: 0.000 0.500 0.611
Ni: 0.500 0.000 0.389
As: 0.000 0.000 0.500
As: 0.000 0.500 0.869
As: 0.500 0.000 0.131
As: 0.500 0.500 0.500

Total moment in μB per formula unit: 0.0
ΔH_f (0 K) in eV/atom: -0.78
Density of states at the Fermi level in states/eV/f.u.: 3.4

No. 4
VASP calculation (PBE) on a geometry-optimized Ac2Cu3NiAs4 structure.

a b c (Å): 4.415 4.415 9.874
angles (deg): 90.00 90.00 90.00
Atoms (fractional coordinates):
Ac: 0.000 0.500 0.240
Ac: 0.500 0.000 0.760
Cu: 0.000 0.000 0.000
Cu: 0.000 0.500 0.624
Cu: 0.500 0.000 0.376
Ni: 0.500 0.500 0.000
As: 0.000 0.000 0.500
As: 0.000 0.500 0.875
As: 0.500 0.000 0.125
As: 0.500 0.500 0.500

Total moment in μB per formula unit: 0.0
ΔH_f (0 K) in eV/atom: -0.67
Density of states at the Fermi level in states/eV/f.u.: 3.1

No. 5
VASP calculation (PBE) on a geometry-optimized AcNp2CuAs4 structure.

a b c (Å): 7.140 7.140 13.838
angles (deg): 90.00 90.00 145.97
Atoms (fractional coordinates):
Ac: 0.112 0.888 0.750
Ac: 0.888 0.112 0.250
Np: 0.369 0.631 0.560
Np: 0.369 0.631 0.940
Np: 0.631 0.369 0.060
Np: 0.631 0.369 0.440
Cu: 0.152 0.848 0.250
Cu: 0.848 0.152 0.750
As: 0.000 0.000 0.000
As: 0.000 0.000 0.500
As: 0.265 0.735 0.115
As: 0.265 0.735 0.385
As: 0.442 0.558 0.750
As: 0.558 0.442 0.250
As: 0.735 0.265 0.615
As: 0.735 0.265 0.885

Total moment in μB per formula unit: 6.0
ΔH_f (0 K) in eV/atom: -0.73
Density of states at the Fermi level in states/eV/f.u.: 21.6

No. 6
VASP calculation (PBE) on a geometry-optimized AcCu4As3O12 structure.

a b c (Å): 6.634 6.634 6.634
angles (deg): 107.21 107.21 107.21
Atoms (fractional coordinates):
Ac: 0.000 0.000 0.000
Cu: 0.125 0.500 0.875
Cu: 0.500 0.500 0.500
Cu: 0.500 0.875 0.125
Cu: 0.875 0.125 0.500
As: 0.000 0.581 0.419
As: 0.419 0.000 0.581
As: 0.581 0.419 0.000
O: 0.003 0.645 0.711
O: 0.091 0.909 0.500
O: 0.289 0.355 0.997
O: 0.318 0.682 0.500
O: 0.355 0.997 0.289
O: 0.500 0.091 0.909
O: 0.500 0.318 0.682
O: 0.645 0.711 0.003
O: 0.682 0.500 0.318
O: 0.711 0.003 0.645
O: 0.909 0.500 0.091
O: 0.997 0.289 0.355

Total moment in μB per formula unit: 0.5
Energy relative to the elements, uncorrected in eV per atom: -1.20
Density of states at the Fermi level in states/eV/f.u.: 8.7

No. 7
VASP calculation (PBE) on a geometry-optimized AcCuAs2O8 structure.

a b c (Å): 6.183 6.183 6.183
angles (deg): 106.20 106.20 116.23
Atoms (fractional coordinates):
Ac: 0.000 0.000 0.000
Cu: 0.750 0.250 0.500
As: 0.250 0.750 0.500
As: 0.500 0.500 0.000
O: 0.071 0.401 0.330
O: 0.071 0.741 0.670
O: 0.152 0.335 0.817
O: 0.259 0.929 0.330
O: 0.519 0.335 0.183
O: 0.599 0.929 0.670
O: 0.665 0.481 0.817
O: 0.665 0.848 0.183

Total moment in μB per formula unit: 2.1
Energy relative to the elements, uncorrected in eV per atom: -1.34
Density of states at the Fermi level in states/eV/f.u.: 11.1

No. 8
VASP calculation (PBE) on a geometry-optimized AcCuAs2O6 structure.

a b c (Å): 6.431 6.431 6.431
angles (deg): 50.94 50.94 50.94
Atoms (fractional coordinates):
Ac: 0.000 0.000 0.000
Cu: 0.500 0.500 0.500
As: 0.271 0.271 0.271
As: 0.729 0.729 0.729
O: 0.084 0.474 0.728
O: 0.272 0.916 0.526
O: 0.474 0.728 0.084
O: 0.526 0.272 0.916
O: 0.728 0.084 0.474
O: 0.916 0.526 0.272

Total moment in μB per formula unit: 0.0
Energy relative to the elements, uncorrected in eV per atom: -1.40
Density of states at the Fermi level in states/eV/f.u.: 2.6

No. 9
VASP calculation (PBE) on a geometry-optimized AcCuAsO structure.

a b c (Å): 4.236 4.236 8.677
angles (deg): 90.00 90.00 90.00
Atoms (fractional coordinates):
Ac: 0.250 0.250 0.148
Ac: 0.750 0.750 0.852
Cu: 0.250 0.750 0.500
Cu: 0.750 0.250 0.500
As: 0.250 0.250 0.645
As: 0.750 0.750 0.355
O: 0.250 0.750 0.000
O: 0.750 0.250 0.000

Total moment in μB per formula unit: 0.0
Energy relative to the elements, uncorrected in eV per atom: -1.73
Density of states at the Fermi level in states/eV/f.u.: 2.2

No. 10
VASP calculation (PBE) on a geometry-optimized Ac2CuAsO6 structure.

a b c (Å): 5.691 5.691 4.045
angles (deg): 90.00 90.00 90.00
Atoms (fractional coordinates):
Ac: 0.000 0.500 0.000
Ac: 0.500 0.000 0.000
Cu: 0.000 0.000 0.513
As: 0.500 0.500 0.503
O: 0.000 0.000 0.017
O: 0.268 0.268 0.535
O: 0.268 0.732 0.535
O: 0.500 0.500 0.046
O: 0.732 0.268 0.535
O: 0.732 0.732 0.535

Total moment in μB per formula unit: 0.0
Energy relative to the elements, uncorrected in eV per atom: -2.16
Density of states at the Fermi level in states/eV/f.u.: 0.9

No. 11
VASP calculation (PBE) on a geometry-optimized AcCu2As2O7 structure.

a b c (Å): 8.838 8.838 8.838
angles (deg): 35.39 35.39 35.39
Atoms (fractional coordinates):
Ac: 0.000 0.000 0.000
Cu: 0.429 0.429 0.429
Cu: 0.571 0.571 0.571
As: 0.234 0.234 0.234
As: 0.766 0.766 0.766
O: 0.036 0.451 0.702
O: 0.298 0.549 0.964
O: 0.451 0.702 0.036
O: 0.500 0.500 0.500
O: 0.549 0.964 0.298
O: 0.702 0.036 0.451
O: 0.964 0.298 0.549

Total moment in μB per formula unit: 3.0
Energy relative to the elements, uncorrected in eV per atom: -1.39

No. 12
VASP calculation (PBE) on a geometry-optimized Ac2CuAsO5 structure.

a b c (Å): 7.227 7.227 5.940
angles (deg): 90.00 90.00 90.00
Atoms (fractional coordinates):
Ac: 0.180 0.320 0.000
Ac: 0.320 0.820 0.000
Ac: 0.680 0.180 0.000
Ac: 0.820 0.680 0.000
Cu: 0.000 0.000 0.500
Cu: 0.500 0.500 0.500
As: 0.000 0.500 0.500
As: 0.500 0.000 0.500
O: 0.000 0.000 0.000
O: 0.132 0.632 0.257
O: 0.132 0.632 0.743
O: 0.368 0.132 0.257
O: 0.368 0.132 0.743
O: 0.500 0.500 0.000
O: 0.632 0.868 0.257
O: 0.632 0.868 0.743
O: 0.868 0.368 0.257
O: 0.868 0.368 0.743

Total moment in μB per formula unit: 0.0
Energy relative to the elements, uncorrected in eV per atom: -1.75
Density of states at the Fermi level in states/eV/f.u.: 0.5

No. 13
VASP calculation (PBE) on a geometry-optimized AcCu4AsP2 structure.

a b c (Å): 3.991 3.991 8.680
angles (deg): 90.00 90.00 90.00
Atoms (fractional coordinates):
Ac: 0.000 0.000 0.000
Cu: 0.000 0.500 0.325
Cu: 0.000 0.500 0.675
Cu: 0.500 0.000 0.325
Cu: 0.500 0.000 0.675
As: 0.000 0.000 0.500
P: 0.500 0.500 0.184
P: 0.500 0.500 0.816

Total moment in μB per formula unit: 0.0
ΔH_f (0 K) in eV/atom: -0.43
Density of states at the Fermi level in states/eV/f.u.: 2.6

No. 14
VASP calculation (PBE) on a geometry-optimized AcCu2AsP structure.

a b c (Å): 6.476 6.476 6.476
angles (deg): 143.51 143.51 52.56
Atoms (fractional coordinates):
Ac: 0.000 0.000 0.000
Cu: 0.261 0.761 0.500
Cu: 0.761 0.261 0.500
As: 0.635 0.635 0.000
P: 0.366 0.366 0.000

Total moment in μB per formula unit: 0.0
ΔH_f (0 K) in eV/atom: -0.67
Density of states at the Fermi level in states/eV/f.u.: 1.5

No. 15
VASP calculation (PBE) on a geometry-optimized Ac2Cu3As4Pd structure.

a b c (Å): 4.458 4.458 10.031
angles (deg): 90.00 90.00 90.00
Atoms (fractional coordinates):
Ac: 0.000 0.500 0.245
Ac: 0.500 0.000 0.755
Cu: 0.000 0.000 0.000
Cu: 0.000 0.500 0.619
Cu: 0.500 0.000 0.381
As: 0.000 0.000 0.500
As: 0.000 0.500 0.864
As: 0.500 0.000 0.136
As: 0.500 0.500 0.500
Pd: 0.500 0.500 0.000

Total moment in μB per formula unit: 0.0
ΔH_f (0 K) in eV/atom: -0.72
Density of states at the Fermi level in states/eV/f.u.: 3.0

No. 16
VASP calculation (PBE) on a geometry-optimized Ac2CuAs3Pd4 structure.

a b c (Å): 4.489 4.489 10.140
angles (deg): 90.00 90.00 90.00
Atoms (fractional coordinates):
Ac: 0.000 0.500 0.249
Ac: 0.500 0.000 0.751
Cu: 0.000 0.000 0.500
As: 0.000 0.500 0.867
As: 0.500 0.000 0.133
As: 0.500 0.500 0.500
Pd: 0.000 0.000 0.000
Pd: 0.000 0.500 0.618
Pd: 0.500 0.000 0.382
Pd: 0.500 0.500 0.000

Total moment in μB per formula unit: 0.0
ΔH_f (0 K) in eV/atom: -0.84
Density of states at the Fermi level in states/eV/f.u.: 6.2

No. 17
VASP calculation (PBE) on a geometry-optimized Ac2CuAs4Pd3 structure.

a b c (Å): 4.530 4.530 10.075
angles (deg): 90.00 90.00 90.00
Atoms (fractional coordinates):
Ac: 0.000 0.500 0.248
Ac: 0.500 0.000 0.752
Cu: 0.500 0.500 0.000
As: 0.000 0.000 0.500
As: 0.000 0.500 0.872
As: 0.500 0.000 0.128
As: 0.500 0.500 0.500
Pd: 0.000 0.000 0.000
Pd: 0.000 0.500 0.618
Pd: 0.500 0.000 0.382

Total moment in μB per formula unit: 0.0
ΔH_f (0 K) in eV/atom: -0.86
Density of states at the Fermi level in states/eV/f.u.: 3.8

No. 18
VASP calculation (PBE) on a geometry-optimized AcPrCuAs structure.

a b c (Å): 5.299 5.299 5.299
angles (deg): 60.00 60.00 60.00
Atoms (fractional coordinates):
Ac: 0.000 0.000 0.000
Pr: 0.500 0.500 0.500
Cu: 0.250 0.250 0.250
As: 0.750 0.750 0.750

Total moment in μB per formula unit: 0.0
ΔH_f (0 K) in eV/atom: -0.55
Density of states at the Fermi level in states/eV/f.u.: 3.6

No. 19
VASP calculation (PBE) on a geometry-optimized Ac2Cu3As4Pt structure.

a b c (Å): 4.481 4.481 9.945
angles (deg): 90.00 90.00 90.00
Atoms (fractional coordinates):
Ac: 0.000 0.500 0.246
Ac: 0.500 0.000 0.754
Cu: 0.000 0.000 0.000
Cu: 0.000 0.500 0.618
Cu: 0.500 0.000 0.382
As: 0.000 0.000 0.500
As: 0.000 0.500 0.866
As: 0.500 0.000 0.134
As: 0.500 0.500 0.500
Pt: 0.500 0.500 0.000

Total moment in μB per formula unit: 0.0
ΔH_f (0 K) in eV/atom: -0.70
Density of states at the Fermi level in states/eV/f.u.: 3.7

No. 20
VASP calculation (PBE) on a geometry-optimized Ac2CuAs3Pt4 structure.

a b c (Å): 4.508 4.508 10.105
angles (deg): 90.00 90.00 90.00
Atoms (fractional coordinates):
Ac: 0.000 0.500 0.249
Ac: 0.500 0.000 0.751
Cu: 0.500 0.500 0.000
As: 0.000 0.000 0.000
As: 0.000 0.500 0.631
As: 0.500 0.000 0.369
Pt: 0.000 0.000 0.500
Pt: 0.000 0.500 0.881
Pt: 0.500 0.000 0.119
Pt: 0.500 0.500 0.500

Total moment in μB per formula unit: 0.0
ΔH_f (0 K) in eV/atom: -0.86
Density of states at the Fermi level in states/eV/f.u.: 6.0